# BaAsSe

A geometry-optimized BaAsSe structure (PBE, Alexandria).

Summary:
Formation energy from raw total energies, eV per atom: -0.875
Excess energy over the best structure of this formula in the dataset, eV per atom: 0.211
E_tot, Ry per atom: -0.3107

Unit cell a=4.5282 b=4.5282 c=9.7732 alpha=90.00 beta=90.00 gamma=90.00
Fractional positions:
Ba: 0.0000 0.0000 0.0000
Ba: 0.5000 0.5000 0.5000
As: 0.0000 0.0000 0.6342
As: 0.5000 0.5000 0.1342
Se: 0.0000 0.0000 0.3893
Se: 0.5000 0.5000 0.8893